CaCuSb2 (GGA-PBE, relaxed); VASP energy = -15.299 eV per formula unit; E_form (uncorrected) = -0.24 eV per atom; magnetization = 0.00 μB/f.u.
1.0
5.3520 0.0000 0.0000
0.0000 3.3221 -0.0084
0.0000 0.0164 5.5535
Ca Sb Cu
1 2 1
direct
0.0000 0.5001 0.4646
0.5000 0.0005 0.2975
0.0000 0.9998 0.9516
0.5000 0.9996 0.7862